Here is Sr2TiBiF after structural relaxation from the Alexandria database. Energies are from PBE.

Cell and atoms, written as extended XYZ:
```
5
Lattice="-4.258 -2.521 4.022 1.123 -3.674 -1.114 4.396 -0.056 4.619" Properties=species:S:1:pos:R:3 pbc="T T T"
F 0.562 -1.837 -0.557
Sr -2.129 -1.261 2.011
Sr 2.198 -0.028 2.309
Ti 0.000 0.000 0.000
Bi 0.631 -3.126 3.763
```

Results
Its symmetry is P4/mmm. The value obtained for the raw formation energy is -0.689 eV/atom. The value obtained for the calculated volume is 32.528 A^3/atom.